{
  "formula": "LiCo2Os",
  "functional": "PBE-GGA",
  "state": "optimized geometry",
  "cell": [[4.0013, 0.0000, 0.0000], [2.0007, 3.4652, 0.0000], [2.0007, 1.1551, 3.2671]],
  "species": ["Os", "Co", "Co", "Li"],
  "frac_coords": [[0.7500, 0.7500, 0.7500], [0.0000, 0.0000, 0.0000], [0.2500, 0.2500, 0.2500], [0.5000, 0.5000, 0.5000]],
  "relative_energy_mev_per_atom": 178.6
}

=====

{
  "formula": "LiCoOs2",
  "functional": "PBE-GGA",
  "state": "optimized geometry",
  "cell": [[-0.7572, 0.8730, 2.4636], [1.5227, -3.7828, 1.8085], [3.8990, 1.8321, 0.5492]],
  "species": ["Os", "Os", "Li", "Co"],
  "frac_coords": [[0.5000, 0.5000, 0.0000], [0.0000, 0.0000, 0.0000], [0.0000, 0.5000, 0.5000], [0.5000, 0.0000, 0.5000]],
  "relative_energy_mev_per_atom": 145.3
}